The following is a PBE calculation of an optimized crystal structure of Rb5USe4, from Alexandria via LeMat-Bulk.

The structure in POSCAR format:
```
Rb5USe4
1.0
10.186 -2.276 0.000
10.186 2.276 0.000
-1.548 0.000 9.276
Rb U Se
5 1 4
Direct
0.000 0.000 0.000
0.323 0.323 0.658
0.343 0.343 0.178
0.657 0.657 0.822
0.677 0.677 0.342
0.000 0.000 0.500
0.139 0.139 0.568
0.493 0.493 0.703
0.507 0.507 0.297
0.861 0.861 0.432
```

Calculated values
Its density of states at the Fermi level is 5.28 states/eV/f.u. The crystal system is monoclinic. The value obtained for the total energy is -4.01 eV per atom. For the raw formation energy, the calculation gives -1005 meV/atom.

=====

The following is a PBE calculation of an optimized crystal structure of Rb4U3Se10, from Alexandria via LeMat-Bulk.

The structure in POSCAR format:
```
Rb4U3Se10
1.0
-2.735 2.735 19.579
2.735 -2.735 19.579
2.735 2.735 -19.579
Rb U Se
4 3 10
Direct
0.069 0.069 0.000
0.203 0.203 0.000
0.797 0.797 0.000
0.931 0.931 0.000
0.360 0.360 0.000
0.500 0.500 0.000
0.640 0.640 0.000
0.000 0.500 0.500
0.138 0.638 0.500
0.293 0.293 0.000
0.362 0.862 0.500
0.430 0.430 0.000
0.500 0.000 0.500
0.570 0.570 0.000
0.638 0.138 0.500
0.707 0.707 0.000
0.862 0.362 0.500
```

Calculated values
Its density of states at the Fermi level is 11.87 states/eV/f.u. The crystal system is tetragonal. The value obtained for the total energy is -5.44 eV per atom. For the raw formation energy, the calculation gives -1170 meV/atom.

=====

The following is a PBE calculation of an optimized crystal structure of RbU6Se12, from Alexandria via LeMat-Bulk.

The structure in POSCAR format:
```
RbU6Se12
1.0
6.795 3.923 3.337
-6.795 3.923 3.337
0.000 -7.846 3.337
Rb U Se
1 6 12
Direct
0.000 0.000 0.000
0.258 0.258 0.663
0.258 0.663 0.258
0.337 0.742 0.742
0.663 0.258 0.258
0.742 0.337 0.742
0.742 0.742 0.337
0.128 0.500 0.872
0.128 0.872 0.500
0.176 0.435 0.435
0.435 0.176 0.435
0.435 0.435 0.176
0.500 0.128 0.872
0.500 0.872 0.128
0.565 0.565 0.824
0.565 0.824 0.565
0.824 0.565 0.565
0.872 0.128 0.500
0.872 0.500 0.128
```

Calculated values
Its density of states at the Fermi level is 32.75 states/eV/f.u. The crystal system is trigonal. The value obtained for the total energy is -6.86 eV per atom. For the raw formation energy, the calculation gives -1045 meV/atom.